Compound: LiTiIn
Source: Alexandria
Functional: GGA-PBE
Structure: optimized geometry

Cell: 4.553 4.553 4.553 Å, 60.00 60.00 60.00°
Positions (direct):
Li  0.250  0.250  0.250
In  0.000  0.000  0.000
Ti  0.750  0.750  0.750

Values from the calculation:
spin magnetization = 0.00 μB/cell
calculated volume = 66.7 Å³ per cell
symmetry = F-43m, No. 216
energy = -11.54 eV/cell
energy of formation from the pure elements = 0.337 eV per atom


Compound: CuSiRh2
Source: Alexandria
Functional: GGA-PBE
Structure: optimized geometry

Cell: 4.774 4.774 4.333 Å, 72.15 72.15 34.12°
Positions (direct):
Si  0.505  0.505  0.555
Rh  0.992  0.992  0.051
Rh  0.769  0.769  0.682
Cu  0.235  0.235  0.212

Values from the calculation:
energy relative to the elements, uncorrected = -0.36 eV/atom
spin magnetization = 0.00 μB/cell
calculated volume = 52.5 Å³ per cell
symmetry = Cm, No. 8
energy = -25.65 eV/cell


> What is the energy in the second record?

-25.65 eV/cell